A plane-wave DFT calculation with PBEsol was carried out for crystalline InSn2Cl5 at its relaxed geometry.

E_form (uncorrected) in meV per atom: -931
E_tot in eV per formula unit: -28.986

Unit cell a=8.692 b=7.807 c=12.151 alpha=90.00 beta=90.41 gamma=90.00
Space group P2_1/c (No. 14)
Unique sites:
In: 0.015 0.048 0.167
Sn: 0.243 0.564 0.006
Sn: 0.493 0.009 0.827
Cl: 0.045 0.174 0.418
Cl: 0.266 0.150 0.688
Cl: 0.266 0.686 0.774
Cl: 0.280 0.537 0.501
Cl: 0.453 0.166 0.404

A plane-wave DFT calculation with PBEsol was carried out for crystalline SrInCl2 at its relaxed geometry.

Offset from the most stable computed form in meV per atom: 0.0
E_form (uncorrected) in meV per atom: -1435
E_tot in eV per formula unit: -14.577

Unit cell a=3.516 b=3.516 c=9.572 alpha=90.00 beta=90.00 gamma=90.00
Space group P4/mmm (No. 123)
Unique sites:
Sr: 0.000 0.000 0.000
In: 0.000 0.000 0.500
Cl: 0.500 0.500 0.169

A plane-wave DFT calculation with PBEsol was carried out for crystalline SrIn4Cl at its relaxed geometry.

E_form (uncorrected) in meV per atom: -344
E_tot in eV per formula unit: -17.842

Unit cell a=8.678 b=8.678 c=8.678 alpha=90.00 beta=90.00 gamma=90.00
Space group F-43m (No. 216)
Unique sites:
Sr: 0.000 0.000 0.000
In: 0.125 0.125 0.625
Cl: 0.250 0.250 0.250